Density functional theory data (PBE) for Dy2Er3Tc2 after structural relaxation.

The structure in POSCAR format:
```
Dy2Er3Tc2
1.0
3.8188 0.0000 0.0000
-1.9094 6.0319 -0.1865
0.0000 -3.0389 7.8133
Tc Er Dy
2 3 2
Cartesian
1.9094 1.5094 6.0187
0.0000 1.4836 1.6081
0.0000 2.7930 4.2924
1.9094 0.0000 0.0000
1.9094 0.2000 3.3345
1.9094 3.5242 1.3148
0.0000 -0.5312 6.3121
```

## Properties
Calculated total energy, eV/cell: -44.21
N(E_F), states/eV per atom: 0.681
SG: No. 12
Energy relative to the elements, eV/f.u.: -0.58



Density functional theory data (PBE) for CrRe2Cl after structural relaxation.

The structure in POSCAR format:
```
CrRe2Cl
1.0
8.5187 -0.0144 -0.0085
8.0566 2.7677 -0.0085
8.0566 1.3382 2.4226
Cl Cr Re
1 1 2
Cartesian
6.1579 1.0229 0.6014
18.4738 3.0686 1.8042
0.0805 0.0134 0.0079
12.2354 2.0324 1.1950
```

## Properties
E_form (uncorrected), eV per atom: 0.4699
Calculated total energy, eV/cell: -34.49
N(E_F), states/eV per atom: 0.192
SG: No. 166



Density functional theory data (PBE) for Sr2LaInIr after structural relaxation.

The structure in POSCAR format:
```
Sr2LaInIr
1.0
5.8659 0.0000 0.0000
0.0000 5.8659 0.0000
0.0000 0.0000 5.4429
Sr In La Ir
2 1 1 1
Cartesian
0.0000 2.9329 0.0000
2.9329 0.0000 0.0000
2.9329 2.9329 2.7215
0.0000 0.0000 2.7215
0.0000 0.0000 0.0000
```

## Properties
Calculated total energy, eV/cell: -21.35
N(E_F), states/eV per atom: 0.858
SG: No. 123
Energy relative to the elements, eV/f.u.: -1.46



Density functional theory data (PBE) for PmCuGeAu after structural relaxation.

The structure in POSCAR format:
```
PmCuGeAu
1.0
4.7885 0.0000 0.0000
2.3942 4.1469 0.0000
2.3942 1.3823 3.9098
Ge Cu Pm Au
1 1 1 1
Cartesian
7.1827 4.1469 2.9323
2.3942 1.3823 0.9774
4.7885 2.7646 1.9549
0.0000 0.0000 0.0000
```

## Properties
Calculated total energy, eV/cell: -18.15
N(E_F), states/eV per atom: 0.704
SG: No. 216
Energy relative to the elements, eV/f.u.: -1.41



Density functional theory data (PBE) for AcIn3Ru after structural relaxation.

The structure in POSCAR format:
```
AcIn3Ru
1.0
-3.2942 -1.4261 -2.7152
6.3662 -3.0276 -6.1335
0.1514 -10.7840 5.4803
In Ac Ru
12 4 4
Cartesian
1.8037 -9.3594 0.8622
4.6362 -5.2572 -4.7288
1.4637 -4.4961 -1.2795
3.6520 -10.2320 -4.6523
1.7598 -10.7416 -2.0889
0.5193 -12.3088 0.2392
-0.4286 -5.0057 1.2839
-1.4128 -9.9805 1.3604
-1.7714 -3.7996 -1.4510
2.7041 -2.9289 -3.6076
4.9948 -11.4381 -1.9174
1.4197 -5.8783 -4.2306
0.4197 -0.9839 -1.8576
-0.4540 -7.4208 -1.1472
2.8037 -14.2538 -1.5108
3.6775 -7.8169 -2.2212
3.1460 -7.5992 -5.4212
0.0774 -7.6385 2.0528
-0.0705 -3.7085 -3.5623
3.2939 -11.5292 0.1940
```

## Properties
Calculated total energy, eV/cell: -92.28
N(E_F), states/eV per atom: 0.594
SG: No. 62
Energy relative to the elements, eV/f.u.: -1.47



Density functional theory data (PBE) for In2SbAu after structural relaxation.

The structure in POSCAR format:
```
In2SbAu
1.0
-2.2751 4.3183 1.2551
-1.9034 -0.9930 -4.5596
-2.9824 -2.0637 1.6945
Au In Sb
1 2 1
Cartesian
-2.4429 -1.5284 -1.4326
0.0000 0.0000 0.0000
-2.0892 1.6627 -1.6522
-2.6287 1.1273 1.4748
```

## Properties
E_form (uncorrected), eV per atom: 0.0407
Calculated total energy, eV/cell: -12.71
N(E_F), states/eV per atom: 0.410
SG: No. 65